This record from Alexandria via LeMat-Bulk describes a relaxed structure of Ba6AsAu2. The functional is PBE.

The energy relative to the elements comes out at -0.600 eV per atom. For the uncorrected energy, the calculation gives -3.127 eV/atom. The density of states at the Fermi level is 15.9 states/eV/cell.

The space group is P2_1/c (No. 14) and the conventional cell measures 8.322, 7.747 and 16.365 Å, with angles of 90.00, 120.55 and 90.00 degrees. The inequivalent atoms are Ba at (0.003, 0.238, 0.337), Ba at (0.331, 0.237, 0.664), Ba at (0.332, 0.729, 0.000), As at (0.000, 0.000, 0.500) and Au at (0.325, 0.000, 0.325).



This record from Alexandria via LeMat-Bulk describes a relaxed structure of Ba4Bi2As2Au. The functional is PBE.

The energy relative to the elements comes out at -0.843 eV per atom. For the uncorrected energy, the calculation gives -3.957 eV/atom. The density of states at the Fermi level is 0.9 states/eV/cell.

The space group is C2/m (No. 12) and the conventional cell measures 13.466, 9.216 and 5.404 Å, with angles of 90.00, 94.62 and 90.00 degrees. The inequivalent atoms are Ba at (0.141, 0.237, 0.231), Bi at (0.063, 0.500, 0.750), As at (0.172, 0.000, 0.735) and Au at (0.000, 0.000, 0.500).



This record from Alexandria via LeMat-Bulk describes a relaxed structure of Ba3Bi2AsAu6. The functional is PBE.

The energy relative to the elements comes out at -0.493 eV per atom. For the uncorrected energy, the calculation gives -3.646 eV/atom. The density of states at the Fermi level is 6.0 states/eV/cell.

The space group is P-3m1 (No. 164) and the conventional cell measures 6.5696, 6.5696 and 9.8869 Å, with angles of 90.00, 90.00 and 120.00 degrees. The inequivalent atoms are Ba at (0.0000, 0.0000, 0.0000), Ba at (0.3333, 0.6667, 0.6081), Bi at (0.3333, 0.6667, 0.0993), As at (0.0000, 0.0000, 0.5000) and Au at (0.1564, 0.3128, 0.2960).